Entry 1:
# ScTiFeRe2, relaxed, DFT GGA-PBE
# Crystal system: tetragonal
# Energy relative to the elements in eV/atom: 1.79
# V in Å³/cell: 94
data_ScTiFeRe2
_chemical_formula_sum 'Sc1 Ti1 Fe1 Re2'
_symmetry_space_group_name_H-M 'P 4/m m m'
_symmetry_Int_Tables_number 123
_symmetry_space_group_name_Hall '-P 4 2'
_cell_length_a 4.513
_cell_length_b 4.513
_cell_length_c 4.595
_cell_angle_alpha 90.00
_cell_angle_beta 90.00
_cell_angle_gamma 90.00
loop_
_atom_site_label
_atom_site_type_symbol
_atom_site_fract_x
_atom_site_fract_y
_atom_site_fract_z
_atom_site_occupancy
Sc1 Sc 0.000 0.000 0.000 1
Ti1 Ti 0.000 0.000 0.500 1
Fe1 Fe 0.500 0.500 0.000 1
Re1 Re 0.000 0.500 0.500 1

Entry 2:
# ScTl2FeRe, relaxed, DFT GGA-PBE
# Crystal system: tetragonal
# Energy relative to the elements in eV/atom: 1.08
# V in Å³/cell: 140
data_ScTl2FeRe
_chemical_formula_sum 'Sc1 Tl2 Fe1 Re1'
_symmetry_space_group_name_H-M 'P 4/m m m'
_symmetry_Int_Tables_number 123
_symmetry_space_group_name_Hall '-P 4 2'
_cell_length_a 5.330
_cell_length_b 5.330
_cell_length_c 4.917
_cell_angle_alpha 90.00
_cell_angle_beta 90.00
_cell_angle_gamma 90.00
loop_
_atom_site_label
_atom_site_type_symbol
_atom_site_fract_x
_atom_site_fract_y
_atom_site_fract_z
_atom_site_occupancy
Sc1 Sc 0.000 0.000 0.000 1
Tl1 Tl 0.000 0.500 0.500 1
Fe1 Fe 0.500 0.500 0.000 1
Re1 Re 0.000 0.000 0.500 1

Entry 3:
# ScTlFeRe2, relaxed, DFT GGA-PBE
# Crystal system: tetragonal
# Energy relative to the elements in eV/atom: 0.89
# V in Å³/cell: 95
data_ScTlFeRe2
_chemical_formula_sum 'Sc1 Tl1 Fe1 Re2'
_symmetry_space_group_name_H-M 'P 4/m m m'
_symmetry_Int_Tables_number 123
_symmetry_space_group_name_Hall '-P 4 2'
_cell_length_a 4.502
_cell_length_b 4.502
_cell_length_c 4.687
_cell_angle_alpha 90.00
_cell_angle_beta 90.00
_cell_angle_gamma 90.00
loop_
_atom_site_label
_atom_site_type_symbol
_atom_site_fract_x
_atom_site_fract_y
_atom_site_fract_z
_atom_site_occupancy
Sc1 Sc 0.000 0.000 0.000 1
Tl1 Tl 0.500 0.500 0.000 1
Fe1 Fe 0.000 0.000 0.500 1
Re1 Re 0.000 0.500 0.500 1

Entry 4:
# Sc2FeReW, relaxed, DFT GGA-PBE
# Crystal system: tetragonal
# Energy relative to the elements in eV/atom: 1.40
# V in Å³/cell: 118
data_Sc2FeReW
_chemical_formula_sum 'Sc2 Fe1 Re1 W1'
_symmetry_space_group_name_H-M 'P 4/m m m'
_symmetry_Int_Tables_number 123
_symmetry_space_group_name_Hall '-P 4 2'
_cell_length_a 5.020
_cell_length_b 5.020
_cell_length_c 4.691
_cell_angle_alpha 90.00
_cell_angle_beta 90.00
_cell_angle_gamma 90.00
loop_
_atom_site_label
_atom_site_type_symbol
_atom_site_fract_x
_atom_site_fract_y
_atom_site_fract_z
_atom_site_occupancy
Sc1 Sc 0.000 0.500 0.000 1
Fe1 Fe 0.000 0.000 0.500 1
Re1 Re 0.500 0.500 0.500 1
W1 W 0.500 0.500 0.000 1

Entry 5:
# FeReSe2, relaxed, DFT GGA-PBE
# Crystal system: tetragonal
# Relative energy among the computed polymorphs in meV/atom: 153
# V in Å³/cell: 71
data_FeReSe2
_chemical_formula_sum 'Fe1 Re1 Se2'
_symmetry_space_group_name_H-M 'P 4 m m'
_symmetry_Int_Tables_number 99
_cell_length_a 2.977
_cell_length_b 2.977
_cell_length_c 7.964
_cell_angle_alpha 90.00
_cell_angle_beta 90.00
_cell_angle_gamma 90.00
loop_
_symmetry_equiv_pos_as_xyz
'x,y,z'
'-y,x,z'
'-x,-y,z'
'y,-x,z'
'-x,y,z'
'y,x,z'
'x,-y,z'
'-y,-x,z'
loop_
_atom_site_label
_atom_site_type_symbol
_atom_site_fract_x
_atom_site_fract_y
_atom_site_fract_z
_atom_site_occupancy
Fe1 Fe 0.000 0.000 0.000 1
Re1 Re 0.500 0.500 0.224 1
Se1 Se 0.000 0.000 0.409 1
Se2 Se 0.500 0.500 0.846 1

Entry 6:
# FeReSe2, relaxed, DFT GGA-PBE
# Crystal system: tetragonal
# Relative energy among the computed polymorphs in meV/atom: 470
# V in Å³/cell: 60
data_FeReSe2
_chemical_formula_sum 'Fe1 Re1 Se2'
_symmetry_space_group_name_H-M 'P 4/m m m'
_symmetry_Int_Tables_number 123
_symmetry_space_group_name_Hall '-P 4 2'
_cell_length_a 3.099
_cell_length_b 3.099
_cell_length_c 6.216
_cell_angle_alpha 90.00
_cell_angle_beta 90.00
_cell_angle_gamma 90.00
loop_
_atom_site_label
_atom_site_type_symbol
_atom_site_fract_x
_atom_site_fract_y
_atom_site_fract_z
_atom_site_occupancy
Fe1 Fe 0.000 0.000 0.000 1
Re1 Re 0.000 0.000 0.500 1
Se1 Se 0.500 0.500 0.247 1